{
  "formula": "Ce2MnZnO6",
  "functional": "PBE with a Hubbard U",
  "state": "relaxed",
  "cell": [[5.440, 0.000, 0.000], [-2.700, 4.817, 0.000], [-0.009, -3.078, 4.595]],
  "species": ["Ce", "Ce", "Mn", "Zn", "O", "O", "O", "O", "O", "O"],
  "frac_coords": [[0.249, 0.497, 0.232], [0.751, 0.503, 0.768], [0.500, 0.000, 0.000], [0.000, 0.000, 0.500], [0.186, 0.865, 0.173], [0.263, 0.523, 0.644], [0.324, 0.135, 0.823], [0.676, 0.865, 0.177], [0.737, 0.477, 0.356], [0.814, 0.135, 0.827]],
  "total_magnetization_mub_per_cell": 3.05,
  "sg": "P-1",
  "total_energy_ev_per_atom": -7.42
}